(1)
A relaxed Ho5Tl3 crystal, computed with PBEsol.

abc: 7.9328 7.9328 13.8486
angles: 90.00 90.00 90.00
Space group I4/mcm (No. 140)
Asymmetric unit:
Ho 0.0000 0.0000 0.0000 [4 per cell]
Ho 0.1596 0.3404 0.1525 [16 per cell]
Tl 0.0000 0.0000 0.2500 [4 per cell]
Tl 0.1360 0.3640 0.5000 [8 per cell]

Properties
For the energy, the calculation gives -4.419 eV per atom. The value obtained for the excess energy over the best structure of this formula in the dataset is 0.0158 eV per atom. Its density of states at the Fermi level is 0.81 states/eV/atom. As for the formation energy: -0.34 eV per atom.

***

(2)
A relaxed BeCrBr2 crystal, computed with PBEsol.

abc: 3.3943 3.4207 13.1772
angles: 90.00 90.00 90.00
Space group Immm (No. 71)
Asymmetric unit:
Be 0.0000 0.0000 0.0000 [2 per cell]
Cr 0.0000 0.0000 0.5000 [2 per cell]
Br 0.0000 0.5000 0.1377 [4 per cell]

Properties
For the energy, the calculation gives -4.460 eV per atom. The value obtained for the excess energy over the best structure of this formula in the dataset is 0.0000 eV per atom. Its density of states at the Fermi level is 0.33 states/eV/atom. The formation energy (no corrections) comes out at 0.14 eV/f.u.

***

(3)
A relaxed Si2Sn2Br crystal, computed with PBEsol.

abc: 3.6247 3.6247 17.6447
angles: 90.00 90.00 90.00
Space group I4/mmm (No. 139)
Asymmetric unit:
Si 0.0000 0.5000 0.2500 [4 per cell]
Sn 0.0000 0.0000 0.1207 [4 per cell]
Br 0.0000 0.0000 0.5000 [2 per cell]

Properties
For the energy, the calculation gives -4.370 eV per atom. Its density of states at the Fermi level is 0.23 states/eV/atom. The formation energy (no corrections) comes out at 0.03 eV/f.u.

***

(4)
A relaxed IrOsRh crystal, computed with PBEsol.

abc: 2.6945 3.8033 8.0720
angles: 90.00 90.00 90.00
Space group Imm2 (No. 44)
Asymmetric unit:
Ir 0.0000 0.0000 0.0000 [2 per cell]
Os 0.0000 0.0000 0.6619 [2 per cell]
Rh 0.0000 0.0000 0.3284 [2 per cell]

Properties
For the energy, the calculation gives -10.071 eV per atom. The value obtained for the excess energy over the best structure of this formula in the dataset is 0.0000 eV per atom. Its density of states at the Fermi level is 0.68 states/eV/atom. As for the formation energy: -0.01 eV per atom.

***

(5)
A relaxed Tc3P crystal, computed with PBEsol.

abc: 2.8997 2.8997 7.4698
angles: 90.00 90.00 120.00
Space group P-6m2 (No. 187)
Asymmetric unit:
Tc 0.0000 0.0000 0.0000 [1 per cell]
Tc 0.3333 0.6667 0.2803 [2 per cell]
P 0.0000 0.0000 0.5000 [1 per cell]

Properties
For the energy, the calculation gives -10.177 eV per atom. The value obtained for the excess energy over the best structure of this formula in the dataset is 0.1097 eV per atom. Its density of states at the Fermi level is 0.64 states/eV/atom. As for the formation energy: -0.28 eV per atom.

***

(6)
A relaxed MnBeGeRu2 crystal, computed with PBEsol.

abc: 4.0827 4.0827 3.8794
angles: 90.00 90.00 90.00
Space group P4/mmm (No. 123)
Asymmetric unit:
Mn 0.0000 0.0000 0.0000 [1 per cell]
Be 0.0000 0.0000 0.5000 [1 per cell]
Ge 0.5000 0.5000 0.0000 [1 per cell]
Ru 0.0000 0.5000 0.5000 [2 per cell]

Properties
For the energy, the calculation gives -7.344 eV per atom. Its density of states at the Fermi level is 0.62 states/eV/atom. As for the formation energy: 0.46 eV per atom.

***

(7)
A relaxed MgTl2In crystal, computed with PBEsol.

abc: 3.3734 3.3734 9.0064
angles: 90.00 90.00 90.00
Space group P4mm (No. 99)
Asymmetric unit:
Mg 0.0000 0.0000 0.0000 [1 per cell]
Tl 0.0000 0.0000 0.5128 [1 per cell]
Tl 0.5000 0.5000 0.2329 [1 per cell]
In 0.5000 0.5000 0.7770 [1 per cell]

Properties
For the energy, the calculation gives -2.527 eV per atom. Its density of states at the Fermi level is 0.48 states/eV/atom. As for the formation energy: -0.04 eV per atom.

***

(8)
A relaxed TePtPb crystal, computed with PBEsol.

abc: 6.6887 6.6887 6.6887
angles: 90.00 90.00 90.00
Space group F-43m (No. 216)
Asymmetric unit:
Te 0.0000 0.0000 0.0000 [4 per cell]
Pt 0.2500 0.2500 0.7500 [4 per cell]
Pb 0.0000 0.0000 0.5000 [4 per cell]

Properties
For the energy, the calculation gives -5.039 eV per atom. The value obtained for the excess energy over the best structure of this formula in the dataset is 0.1375 eV per atom. Its density of states at the Fermi level is 0.33 states/eV/atom. The formation energy (no corrections) comes out at -0.63 eV/f.u.